No. 1
VASP calculation (PBE-GGA) on YTiHRu2 after structural relaxation.

Cell: 4.965 4.965 3.467 Å, 90.00 90.00 90.00°
Sites, in units of the cell vectors:
Y: 0.000 0.000 0.000
Ti: 0.500 0.500 0.500
H: 0.000 0.000 0.500
Ru: 0.000 0.500 0.000
Ru: 0.500 0.000 0.000

## Properties
**VASP energy**: -31.47 eV per cell

---

No. 2
VASP calculation (PBE-GGA) on Tl3HRu after structural relaxation.

Cell: 5.260 5.260 5.260 Å, 90.00 90.00 90.00°
Sites, in units of the cell vectors:
Tl: 0.000 0.000 0.500
Tl: 0.000 0.500 0.000
Tl: 0.500 0.000 0.000
H: 0.500 0.500 0.500
Ru: 0.000 0.000 0.000

## Properties
**VASP energy**: -16.83 eV per cell

---

No. 3
VASP calculation (PBE-GGA) on TlH3Ru after structural relaxation.

Cell: 3.876 3.876 3.876 Å, 90.00 90.00 90.00°
Sites, in units of the cell vectors:
Tl: 0.000 0.000 0.000
H: 0.000 0.000 0.500
H: 0.000 0.500 0.000
H: 0.500 0.000 0.000
Ru: 0.500 0.500 0.500

## Properties
**VASP energy**: -14.83 eV per cell

---

No. 4
VASP calculation (PBE-GGA) on Tl3HRu after structural relaxation.

Cell: 4.649 4.649 4.649 Å, 90.00 90.00 90.00°
Sites, in units of the cell vectors:
Tl: 0.000 0.000 0.500
Tl: 0.000 0.500 0.000
Tl: 0.500 0.000 0.000
H: 0.000 0.000 0.000
Ru: 0.500 0.500 0.500

## Properties
**VASP energy**: -15.81 eV per cell

---

| no. | total moment (μB per formula unit) |
| --- | --- |
| 1 | 0.0 |
| 2 | 0.2 |
| 3 | 2.3 |
| 4 | 1.1 |